Na8AgSn2: optimized geometry, PBE.

a b c (Å): 5.824 8.752 8.439
angles (deg): 114.76 101.26 106.80
Atoms (fractional coordinates):
Na1 0.331 0.629 0.000
Na2 0.209 0.325 0.248
Na3 0.791 0.675 0.752
Na4 0.961 0.077 0.752
Na5 0.039 0.923 0.248
Na6 0.722 0.222 0.443
Na7 0.278 0.778 0.557
Na8 0.669 0.371 0.000
Ag1 0.500 0.000 0.000
Sn1 0.688 0.688 0.377
Sn2 0.312 0.312 0.623

- space group = No. 12
- ΔE_f (eV/atom) = -0.03
- energy relative to the lowest polymorph listed for this composition (meV per atom) = 0
- E_tot (eV per cell) = -21.732

Na3Ag2Sn5: optimized geometry, PBE.

a b c (Å): 6.826 9.908 9.908
angles (deg): 77.50 69.85 69.85
Atoms (fractional coordinates):
Sn1 0.868 0.496 0.768
Sn2 0.132 0.504 0.232
Sn3 0.750 0.500 0.500
Sn4 0.368 0.768 0.496
Sn5 0.482 0.768 0.768
Sn6 0.250 0.500 0.500
Sn7 0.982 0.768 0.768
Sn8 0.632 0.232 0.504
Sn9 0.018 0.232 0.232
Sn10 0.518 0.232 0.232
Na1 0.628 0.617 0.126
Na2 0.750 0.000 0.000
Na3 0.872 0.874 0.383
Na4 0.250 0.000 0.000
Na5 0.128 0.126 0.617
Na6 0.372 0.383 0.874
Ag1 0.640 0.007 0.714
Ag2 0.360 0.993 0.286
Ag3 0.860 0.286 0.993
Ag4 0.140 0.714 0.007

- space group = No. 72
- ΔE_f (eV/atom) = -0.06
- E_tot (eV per cell) = -60.499

NaAg2Sn: optimized geometry, PBE.

a b c (Å): 6.656 6.656 6.656
angles (deg): 153.80 54.32 133.32
Atoms (fractional coordinates):
Na1 0.000 0.000 0.000
Ag1 0.740 0.000 0.740
Ag2 0.260 0.000 0.260
Sn1 0.500 0.000 0.500

- space group = No. 71
- ΔE_f (eV/atom) = 0.17
- E_tot (eV per cell) = -10.348

NaAg2Sn5: optimized geometry, PBE.

a b c (Å): 4.182 7.595 7.595
angles (deg): 70.58 74.02 74.02
Atoms (fractional coordinates):
Sn1 0.645 0.558 0.152
Sn2 0.000 0.500 0.500
Sn3 0.355 0.848 0.442
Sn4 0.355 0.442 0.848
Sn5 0.645 0.152 0.558
Ag1 0.742 0.758 0.758
Ag2 0.258 0.242 0.242
Na1 0.000 0.000 0.000

- space group = No. 71
- ΔE_f (eV/atom) = 0.01
- E_tot (eV per cell) = -26.949

Na2Ag4Sn5: optimized geometry, PBE.

a b c (Å): 6.225 7.271 7.262
angles (deg): 77.88 64.62 64.66
Atoms (fractional coordinates):
Na1 0.307 0.694 0.693
Na2 0.693 0.306 0.307
Sn1 0.244 0.829 0.171
Sn2 0.756 0.171 0.829
Sn3 0.756 0.829 0.171
Sn4 0.244 0.171 0.829
Sn5 0.000 0.500 0.500
Ag1 0.755 0.573 0.918
Ag2 0.245 0.427 0.082
Ag3 0.755 0.917 0.574
Ag4 0.245 0.083 0.426

- space group = No. 12
- ΔE_f (eV/atom) = -0.05
- E_tot (eV per cell) = -34.582

Na3AgSn4: optimized geometry, PBE.

a b c (Å): 6.538 6.423 11.246
angles (deg): 90.00 90.00 90.00
Atoms (fractional coordinates):
Sn1 0.038 0.240 0.000
Sn2 0.672 0.000 0.642
Sn3 0.672 0.000 0.358
Sn4 0.328 0.500 0.142
Sn5 0.328 0.500 0.858
Sn6 0.962 0.740 0.500
Sn7 0.962 0.260 0.500
Sn8 0.038 0.760 0.000
Ag1 0.683 0.500 0.000
Ag2 0.317 0.000 0.500
Na1 0.552 0.000 0.000
Na2 0.834 0.500 0.750
Na3 0.166 0.000 0.250
Na4 0.834 0.500 0.250
Na5 0.166 0.000 0.750
Na6 0.448 0.500 0.500

- space group = No. 59
- ΔE_f (eV/atom) = -0.18
- E_tot (eV per cell) = -48.562

NaAg5Sn8: optimized geometry, PBE.

a b c (Å): 7.664 7.664 7.664
angles (deg): 109.34 109.74 109.34
Atoms (fractional coordinates):
Sn1 0.498 0.595 0.244
Sn2 0.936 0.063 0.688
Sn3 0.312 0.248 0.375
Sn4 0.625 0.937 0.873
Sn5 0.649 0.405 0.902
Sn6 0.127 0.752 0.064
Sn7 0.098 0.747 0.502
Sn8 0.756 0.253 0.351
Ag1 0.873 0.899 0.237
Ag2 0.339 0.101 0.974
Ag3 0.500 0.000 0.500
Ag4 0.026 0.364 0.127
Ag5 0.763 0.636 0.661
Na1 0.250 0.500 0.750

- space group = No. 82
- ΔE_f (eV/atom) = 0.06
- E_tot (eV per cell) = -46.746

Na2AgSn3: optimized geometry, PBE.

a b c (Å): 6.340 6.340 9.096
angles (deg): 90.00 90.00 120.00
Atoms (fractional coordinates):
Ag1 0.000 0.000 0.500
Ag2 0.000 0.000 0.000
Sn1 0.339 0.169 0.750
Sn2 0.169 0.831 0.250
Sn3 0.661 0.831 0.250
Sn4 0.831 0.661 0.750
Sn5 0.831 0.169 0.750
Sn6 0.169 0.339 0.250
Na1 0.667 0.333 0.433
Na2 0.333 0.667 0.933
Na3 0.333 0.667 0.567
Na4 0.667 0.333 0.067

- space group = No. 194
- ΔE_f (eV/atom) = -0.12
- energy relative to the lowest polymorph listed for this composition (meV per atom) = 0
- E_tot (eV per cell) = -36.439

NaAg4Sn: optimized geometry, PBE.

a b c (Å): 5.625 5.625 5.625
angles (deg): 60.00 60.00 60.00
Atoms (fractional coordinates):
Na1 0.000 0.000 0.000
Ag1 0.625 0.124 0.625
Ag2 0.625 0.625 0.124
Ag3 0.625 0.625 0.625
Ag4 0.124 0.625 0.625
Sn1 0.250 0.250 0.250

- space group = No. 216
- ΔE_f (eV/atom) = -0.03
- energy relative to the lowest polymorph listed for this composition (meV per atom) = 0
- E_tot (eV per cell) = -16.913

NaAgSn2: optimized geometry, PBE.

a b c (Å): 5.108 5.108 5.108
angles (deg): 60.00 60.00 60.00
Atoms (fractional coordinates):
Ag1 0.500 0.500 0.500
Sn1 0.250 0.250 0.250
Sn2 0.750 0.750 0.750
Na1 0.000 0.000 0.000

- space group = No. 225
- ΔE_f (eV/atom) = -0.03
- E_tot (eV per cell) = -12.296

Na2Ag2Sn: optimized geometry, PBE.

a b c (Å): 7.345 7.345 4.525
angles (deg): 90.00 90.00 90.00
Atoms (fractional coordinates):
Na1 0.331 0.169 0.500
Na2 0.669 0.831 0.500
Na3 0.169 0.669 0.500
Na4 0.831 0.331 0.500
Ag1 0.363 0.863 0.000
Ag2 0.637 0.137 0.000
Ag3 0.137 0.363 0.000
Ag4 0.863 0.637 0.000
Sn1 0.000 0.000 0.000
Sn2 0.500 0.500 0.000

- space group = No. 127
- ΔE_f (eV/atom) = -0.06
- energy relative to the lowest polymorph listed for this composition (meV per atom) = 35
- E_tot (eV per cell) = -25.265

Na2Ag15Sn2: optimized geometry, PBE.

a b c (Å): 7.384 7.384 7.384
angles (deg): 83.06 83.06 83.06
Atoms (fractional coordinates):
Ag1 0.000 0.500 0.000
Ag2 0.000 0.668 0.332
Ag3 0.338 0.832 0.338
Ag4 0.168 0.662 0.662
Ag5 0.332 0.000 0.668
Ag6 0.668 0.332 0.000
Ag7 0.000 0.000 0.500
Ag8 0.000 0.332 0.668
Ag9 0.662 0.662 0.168
Ag10 0.668 0.000 0.332
Ag11 0.338 0.338 0.832
Ag12 0.332 0.668 0.000
Ag13 0.832 0.338 0.338
Ag14 0.662 0.168 0.662
Ag15 0.500 0.000 0.000
Sn1 0.898 0.898 0.898
Sn2 0.102 0.102 0.102
Na1 0.357 0.357 0.357
Na2 0.643 0.643 0.643

- space group = No. 166
- ΔE_f (eV/atom) = 0.01
- E_tot (eV per cell) = -53.222

NaAg6Sn6: optimized geometry, PBE.

a b c (Å): 5.858 7.690 7.690
angles (deg): 80.68 67.61 67.61
Atoms (fractional coordinates):
Ag1 0.500 0.000 0.500
Ag2 0.500 0.756 0.244
Ag3 0.000 0.000 0.500
Ag4 0.000 0.500 0.000
Ag5 0.500 0.500 0.000
Ag6 0.500 0.244 0.756
Sn1 0.663 0.337 0.337
Sn2 0.330 0.170 0.170
Sn3 0.670 0.830 0.830
Sn4 0.000 0.349 0.651
Sn5 0.000 0.651 0.349
Sn6 0.337 0.663 0.663
Na1 0.000 0.000 0.000

- space group = No. 71
- ΔE_f (eV/atom) = -0.03
- E_tot (eV per cell) = -42.837

Na3Ag2Sn9: optimized geometry, PBE.

a b c (Å): 4.632 9.380 9.380
angles (deg): 80.91 75.71 75.71
Atoms (fractional coordinates):
Sn1 0.849 0.449 0.853
Sn2 0.622 0.019 0.737
Sn3 0.622 0.737 0.019
Sn4 0.151 0.551 0.147
Sn5 0.151 0.147 0.551
Sn6 0.849 0.853 0.449
Sn7 0.378 0.263 0.981
Sn8 0.378 0.981 0.263
Sn9 0.000 0.500 0.500
Na1 0.287 0.713 0.713
Na2 0.713 0.287 0.287
Na3 0.000 0.000 0.000
Ag1 0.500 0.353 0.647
Ag2 0.500 0.647 0.353

- space group = No. 71
- ΔE_f (eV/atom) = -0.08
- E_tot (eV per cell) = -46.810

Na3Ag2Sn: optimized geometry, PBE.

a b c (Å): 5.173 5.173 11.156
angles (deg): 75.08 75.08 89.03
Atoms (fractional coordinates):
Na1 0.669 0.331 0.250
Na2 0.287 0.076 0.928
Na3 0.924 0.713 0.572
Na4 0.713 0.924 0.072
Na5 0.331 0.669 0.750
Na6 0.076 0.287 0.428
Sn1 0.877 0.123 0.750
Sn2 0.123 0.877 0.250
Ag1 0.461 0.250 0.606
Ag2 0.250 0.461 0.106
Ag3 0.750 0.539 0.894
Ag4 0.539 0.750 0.394

- space group = No. 15
- ΔE_f (eV/atom) = -0.09
- E_tot (eV per cell) = -28.400

Na3Ag5Sn2: optimized geometry, PBE.

a b c (Å): 5.549 9.743 9.743
angles (deg): 97.58 73.46 73.46
Atoms (fractional coordinates):
Ag1 0.991 0.259 0.259
Ag2 0.509 0.741 0.741
Ag3 0.775 0.558 0.893
Ag4 0.750 0.500 0.500
Ag5 0.009 0.741 0.741
Ag6 0.725 0.107 0.442
Ag7 0.225 0.442 0.107
Ag8 0.275 0.893 0.558
Ag9 0.491 0.259 0.259
Ag10 0.250 0.500 0.500
Na1 0.574 0.616 0.236
Na2 0.250 0.000 0.000
Na3 0.074 0.236 0.616
Na4 0.750 0.000 0.000
Na5 0.926 0.764 0.384
Na6 0.426 0.384 0.764
Sn1 0.848 0.308 0.996
Sn2 0.348 0.996 0.308
Sn3 0.152 0.692 0.004
Sn4 0.652 0.004 0.692

- space group = No. 72
- ΔE_f (eV/atom) = 0.01
- energy relative to the lowest polymorph listed for this composition (meV per atom) = 64
- E_tot (eV per cell) = -52.240

Na5Ag4Sn2: optimized geometry, PBE.

a b c (Å): 3.235 8.575 11.348
angles (deg): 112.20 98.19 90.00
Atoms (fractional coordinates):
Ag1 0.274 0.274 0.547
Ag2 0.000 0.689 0.000
Ag3 0.000 0.311 0.000
Ag4 0.726 0.726 0.453
Sn1 0.590 0.590 0.180
Sn2 0.410 0.410 0.820
Na1 0.500 0.000 0.000
Na2 0.839 0.053 0.678
Na3 0.161 0.947 0.322
Na4 0.839 0.624 0.678
Na5 0.161 0.376 0.322

- space group = No. 71
- ΔE_f (eV/atom) = 0.01
- E_tot (eV per cell) = -25.933

Na2AgSn: optimized geometry, PBE.

a b c (Å): 3.177 3.177 9.508
angles (deg): 90.00 90.00 90.00
Atoms (fractional coordinates):
Na1 0.000 0.000 0.233
Na2 0.000 0.000 0.767
Sn1 0.500 0.500 0.500
Ag1 0.500 0.500 0.000

- space group = No. 123
- ΔE_f (eV/atom) = -0.08
- E_tot (eV per cell) = -9.809

NaAg8Sn5: optimized geometry, PBE.

a b c (Å): 7.433 7.433 7.433
angles (deg): 111.26 105.94 111.26
Atoms (fractional coordinates):
Na1 0.250 0.500 0.750
Ag1 0.632 0.959 0.872
Ag2 0.326 0.240 0.368
Ag3 0.914 0.041 0.674
Ag4 0.041 0.724 0.452
Ag5 0.683 0.412 0.959
Ag6 0.548 0.588 0.271
Ag7 0.729 0.276 0.317
Ag8 0.128 0.760 0.086
Sn1 0.085 0.382 0.140
Sn2 0.860 0.946 0.242
Sn3 0.758 0.618 0.703
Sn4 0.500 0.000 0.500
Sn5 0.297 0.054 0.915

- space group = No. 82
- ΔE_f (eV/atom) = 0.04
- E_tot (eV per cell) = -43.585

NaSrAgSn: optimized geometry, PBE.

a b c (Å): 5.244 5.244 5.244
angles (deg): 60.00 60.00 60.00
Atoms (fractional coordinates):
Sr1 0.250 0.250 0.250
Sn1 0.750 0.750 0.750
Ag1 0.500 0.500 0.500
Na1 0.000 0.000 0.000

- space group = No. 216
- ΔE_f (eV/atom) = -0.31
- energy relative to the lowest polymorph listed for this composition (meV per atom) = 0
- E_tot (eV per cell) = -11.106

NaSrAgSn: optimized geometry, PBE.

a b c (Å): 3.736 7.411 5.716
angles (deg): 132.47 90.00 90.00
Atoms (fractional coordinates):
Sn1 0.500 0.584 0.603
Na1 0.000 0.078 0.180
Sr1 0.000 0.537 0.067
Ag1 0.500 0.015 0.672

- space group = No. 6
- ΔE_f (eV/atom) = -0.25
- energy relative to the lowest polymorph listed for this composition (meV per atom) = 63
- E_tot (eV per cell) = -10.852